# PrHoAu, optimized geometry, DFT PBE
# Energy relative to the elements (eV/atom): -0.40
# Final energy (eV per formula unit): -13.84
# Distance to the lowest polymorph of the same formula (meV per atom): 193
# Calculated density (g cm⁻³): 9.7
data_PrHoAu
_space_group_name_H-M_alt 'P 3 m 1'
_space_group_IT_number 156
_cell_length_a 4.9259
_cell_length_b 4.9259
_cell_length_c 4.0857
_cell_angle_alpha 90.00
_cell_angle_beta 90.00
_cell_angle_gamma 120.00
loop_
_space_group_symop_operation_xyz
'x,y,z'
'-y,x-y,z'
'-x+y,-x,z'
'-y,-x,z'
'-x+y,y,z'
'x,x-y,z'
loop_
_atom_site_label
_atom_site_type_symbol
_atom_site_fract_x
_atom_site_fract_y
_atom_site_fract_z
_atom_site_occupancy
Pr1 Pr 0.0000 0.0000 0.0000 1
Ho1 Ho 0.6667 0.3333 0.4864 1
Au1 Au 0.3333 0.6667 0.5958 1

# PrHo3Au4, optimized geometry, DFT PBE
# Energy relative to the elements (eV/atom): -0.83
# Final energy (eV per formula unit): -38.26
# Calculated density (g cm⁻³): 12.4
data_PrHo3Au4
_space_group_name_H-M_alt 'P 4/m m m'
_space_group_IT_number 123
_space_group_name_Hall '-P 4 2'
_cell_length_a 5.120
_cell_length_b 5.120
_cell_length_c 7.275
_cell_angle_alpha 90.00
_cell_angle_beta 90.00
_cell_angle_gamma 90.00
loop_
_atom_site_label
_atom_site_type_symbol
_atom_site_fract_x
_atom_site_fract_y
_atom_site_fract_z
_atom_site_occupancy
Pr1 Pr 0.000 0.000 0.000 1
Ho1 Ho 0.000 0.000 0.500 1
Ho2 Ho 0.500 0.500 0.000 1
Ho3 Ho 0.500 0.500 0.500 1
Au1 Au 0.000 0.500 0.265 1

# PrHoPtAu, optimized geometry, DFT PBE
# Energy relative to the elements (eV/atom): -1.00
# Final energy (eV per formula unit): -22.69
# Distance to the lowest polymorph of the same formula (meV per atom): 0
# Calculated density (g cm⁻³): 11.8
data_PrHoPtAu
_space_group_name_H-M_alt 'A m m 2'
_space_group_IT_number 38
_cell_length_a 4.673
_cell_length_b 3.858
_cell_length_c 10.859
_cell_angle_alpha 90.00
_cell_angle_beta 90.00
_cell_angle_gamma 90.00
loop_
_space_group_symop_operation_xyz
'x,y,z'
'-x,-y,z'
'-x,y,z'
'x,-y,z'
'x,y+1/2,z+1/2'
'-x,-y+1/2,z+1/2'
'-x,y+1/2,z+1/2'
'x,-y+1/2,z+1/2'
loop_
_atom_site_label
_atom_site_type_symbol
_atom_site_fract_x
_atom_site_fract_y
_atom_site_fract_z
_atom_site_occupancy
Pr1 Pr 0.000 0.000 0.000 1
Ho1 Ho 0.500 0.000 0.724 1
Pt1 Pt 0.000 0.000 0.271 1
Au1 Au 0.500 0.000 0.445 1